# TaTl2W (PBE, relaxed)
# - relative energy among the computed polymorphs (meV per atom) = 336.4
# - formation enthalpy at 0 K (eV/atom) = 0.85
data_TaTl2W
_symmetry_space_group_name_H-M 'P m m m'
_symmetry_Int_Tables_number 47
_cell_length_a 3.223
_cell_length_b 4.931
_cell_length_c 5.087
_cell_angle_alpha 90.00
_cell_angle_beta 90.00
_cell_angle_gamma 90.00
loop_
_symmetry_equiv_pos_as_xyz
'x,y,z'
'-x,-y,-z'
'-x,-y,z'
'x,y,-z'
'x,-y,-z'
'-x,y,z'
'-x,y,-z'
'x,-y,z'
loop_
_atom_site_label
_atom_site_type_symbol
_atom_site_fract_x
_atom_site_fract_y
_atom_site_fract_z
_atom_site_occupancy
Ta1 Ta 0.000 0.000 0.000 1
Tl1 Tl 0.000 0.500 0.500 1
Tl2 Tl 0.500 0.500 0.000 1
W1 W 0.500 0.000 0.500 1